# CeGa4Cu2Pt PBE relaxed
# * energy of formation: -0.387 eV per atom
# * DFT total energy: -4.422 eV/atom
# * size of the total moment: 0.0676 μB/atom
data_CeGa4Cu2Pt
_space_group_name_H-M_alt 'R -3 m'
_space_group_IT_number 166
_space_group_name_Hall '-R 3 2"'
_cell_length_a 4.2278
_cell_length_b 4.2278
_cell_length_c 26.9026
_cell_angle_alpha 90.00
_cell_angle_beta 90.00
_cell_angle_gamma 120.00
loop_
_atom_site_label
_atom_site_fract_x
_atom_site_fract_y
_atom_site_fract_z
_atom_site_occupancy
Ce1 0.0000 0.0000 0.0000 1
Ga1 0.0000 0.0000 0.1269 1
Ga2 0.0000 0.0000 0.4009 1
Cu1 0.0000 0.0000 0.2470 1
Pt1 0.0000 0.0000 0.5000 1